Record 1
An optimized crystal structure of Li4GePd3. Source: the Alexandria database, functional PBE-GGA.

Calculated values
E (eV per atom): -3.92
Symmetry: C2/m (12)
Energy of formation from the pure elements (meV per atom): -435.9
Magnetization (Bohr magnetons per cell): 0.00

abc: 3.072 4.310 8.997
angles: 76.40 99.83 90.00
Atoms (fractional coordinates):
Li (0.380, 0.617, 0.760)
Li (0.620, 0.383, 0.240)
Li (0.754, 0.747, 0.507)
Li (0.246, 0.253, 0.493)
Ge (0.500, 0.000, 0.000)
Pd (0.000, 0.500, 0.000)
Pd (0.124, 0.878, 0.249)
Pd (0.876, 0.122, 0.751)



Record 2
An optimized crystal structure of LiGe2Pd4. Source: the Alexandria database, functional PBE-GGA.

Calculated values
E (eV per atom): -4.59
Symmetry: I4/mmm (139)
Energy of formation from the pure elements (meV per atom): -30.3
Energy above the lowest structure with this stoichiometry (eV/atom): 0.499
Magnetization (Bohr magnetons per cell): 0.00

abc: 4.195 4.195 7.130
angles: 72.89 72.89 90.00
Atoms (fractional coordinates):
Ge (0.373, 0.373, 0.253)
Ge (0.627, 0.627, 0.747)
Pd (0.189, 0.189, 0.621)
Pd (0.811, 0.811, 0.379)
Pd (0.000, 0.500, 0.000)
Pd (0.500, 0.000, 0.000)
Li (0.000, 0.000, 0.000)



Record 3
An optimized crystal structure of Li2GePd3. Source: the Alexandria database, functional PBE-GGA.

Calculated values
E (eV per atom): -4.54
Symmetry: Cmmm (65)
Energy of formation from the pure elements (meV per atom): -539.7
Energy above the lowest structure with this stoichiometry (eV/atom): 0.000
Magnetization (Bohr magnetons per cell): 0.00

abc: 4.361 6.940 5.823
angles: 90.00 90.00 71.69
Atoms (fractional coordinates):
Li (0.000, 0.000, 0.000)
Li (0.000, 0.000, 0.500)
Li (0.334, 0.333, 0.500)
Li (0.666, 0.667, 0.500)
Ge (0.344, 0.312, 0.000)
Ge (0.656, 0.688, 0.000)
Pd (0.828, 0.343, 0.755)
Pd (0.500, 0.000, 0.254)
Pd (0.172, 0.657, 0.245)
Pd (0.828, 0.343, 0.245)
Pd (0.172, 0.657, 0.755)
Pd (0.500, 0.000, 0.746)



Record 4
An optimized crystal structure of Li3Ge2Pd4. Source: the Alexandria database, functional PBE-GGA.

Calculated values
E (eV per atom): -4.40
Symmetry: Cccm (66)
Energy of formation from the pure elements (meV per atom): -431.0
Energy above the lowest structure with this stoichiometry (eV/atom): 0.153
Magnetization (Bohr magnetons per cell): 0.00

abc: 4.755 7.599 7.599
angles: 82.27 89.98 89.98
Atoms (fractional coordinates):
Li (0.000, 0.019, 0.193)
Li (0.500, 0.807, 0.981)
Li (0.000, 0.981, 0.807)
Li (0.500, 0.193, 0.019)
Li (0.250, 0.500, 0.500)
Li (0.750, 0.500, 0.500)
Ge (0.500, 0.161, 0.365)
Ge (0.000, 0.635, 0.839)
Ge (0.500, 0.839, 0.635)
Ge (0.000, 0.365, 0.161)
Pd (0.500, 0.838, 0.304)
Pd (0.000, 0.696, 0.162)
Pd (0.500, 0.162, 0.696)
Pd (0.000, 0.304, 0.838)
Pd (0.000, 0.189, 0.485)
Pd (0.500, 0.515, 0.811)
Pd (0.000, 0.811, 0.515)
Pd (0.500, 0.485, 0.189)



Number 1: density of states at the Fermi level 2.4 states/eV per cell. Number 2: density of states at the Fermi level 3.4 states/eV per cell. Number 3: density of states at the Fermi level 3.7 states/eV per cell. Number 4: density of states at the Fermi level 7.6 states/eV per cell.